DFT (GGA-PBE) results for a geometry-optimized Ba2NiMo structure.

```
4
Lattice="7.014 0.065 -0.080 5.942 3.728 -0.080 2.011 0.589 4.808" Properties=species:S:1:pos:R:3 pbc="T T T"
Ba 12.788 3.743 -0.084
Ba 11.380 3.331 3.416
Mo 8.285 2.425 1.960
Ni 2.954 0.865 1.521
```

Output
Uncorrected energy, eV/cell: -17.90
Magnetic moment, μB/f.u.: 0.001
Symmetry: No. 44
Excess energy over the best structure of this formula in the dataset, eV per atom: 0.051
Formation energy from the elements, eV/atom: 0.6400